Entry 1
First-principles (PBE) data for a geometry-optimized Sc3Mo5 structure, as listed in the Alexandria database.

## Properties
Total magnetic moment   0.000 μB/atom

Structure (POSCAR):
```
Sc3Mo5
1.0
-0.036 7.728 -0.536
-3.852 -5.667 3.613
6.731 -0.605 4.237
Sc Mo
6 10
Direct
0.765 0.735 0.000
0.265 0.235 0.000
0.303 0.196 0.500
0.671 0.829 0.500
0.173 0.698 0.871
0.802 0.326 0.129
0.248 0.743 0.500
0.757 0.251 0.500
0.763 0.074 0.837
0.288 0.942 0.230
0.760 0.581 0.340
0.249 0.453 0.703
0.558 0.212 0.770
0.425 0.736 0.163
0.047 0.250 0.297
0.919 0.739 0.660
```

=====

Entry 2
First-principles (PBE) data for a geometry-optimized Sc3Mo5 structure, as listed in the Alexandria database.

## Properties
Total magnetic moment   0.000 μB/atom

Structure (POSCAR):
```
Sc3Mo5
1.0
3.292 -4.522 0.000
3.292 4.522 0.000
0.000 0.000 4.735
Sc Mo
3 5
Direct
0.500 0.500 0.000
0.735 0.265 0.500
0.265 0.735 0.500
0.000 0.000 0.000
0.500 0.000 0.000
0.000 0.500 0.000
0.795 0.795 0.500
0.205 0.205 0.500
```

=====

Which structure is the least stable? The one labeled entry 1.

=====

Entry 1
First-principles (PBE) data for a geometry-optimized Sc4Mo structure, as listed in the Alexandria database.

## Properties
Total magnetic moment   0.028 μB/atom

Structure (POSCAR):
```
Sc4Mo
1.0
-1.912 -4.646 2.994
-1.514 5.221 -2.157
0.142 -2.710 -5.181
Sc Mo
4 1
Direct
0.580 0.769 0.349
0.769 0.420 0.189
0.420 0.231 0.651
0.231 0.580 0.811
0.000 0.000 0.000
```

=====

Entry 2
First-principles (PBE) data for a geometry-optimized Sc4Mo structure, as listed in the Alexandria database.

## Properties
Total magnetic moment   0.000 μB/atom

Structure (POSCAR):
```
Sc4Mo
1.0
-1.899 1.899 7.803
1.899 -1.899 7.803
1.899 1.899 -7.803
Sc Mo
4 1
Direct
0.250 0.750 0.500
0.586 0.586 0.000
0.414 0.414 0.000
0.750 0.250 0.500
0.000 0.000 0.000
```

=====

Which structure is the least stable? The one labeled entry 2.

=====

Entry 1
First-principles (PBE) data for a geometry-optimized Sc4Mo structure, as listed in the Alexandria database.

## Properties
Total magnetic moment   0.000 μB/atom

Structure (POSCAR):
```
Sc4Mo
1.0
-3.174 3.174 3.174
3.174 -3.174 3.174
3.174 3.174 -3.174
Sc Mo
4 1
Direct
0.500 0.000 0.000
0.500 0.500 0.500
0.000 0.500 0.000
0.000 0.000 0.500
0.000 0.000 0.000
```

=====

Entry 2
First-principles (PBE) data for a geometry-optimized Sc4Mo structure, as listed in the Alexandria database.

## Properties
Total magnetic moment   0.000 μB/atom

Structure (POSCAR):
```
Sc4Mo
1.0
-3.768 -1.421 -3.031
-1.456 -3.414 3.411
-3.015 3.425 2.142
Sc Mo
4 1
Direct
0.000 0.000 0.000
0.500 0.000 0.500
0.000 0.500 0.500
0.500 0.500 0.000
0.500 0.500 0.500
```

=====

Which structure is the least stable? The one labeled entry 1.

=====

Entry 1
First-principles (PBE) data for a geometry-optimized Sc2MoSe structure, as listed in the Alexandria database.

## Properties
Total magnetic moment   0.001 μB/atom

Structure (POSCAR):
```
Sc2MoSe
1.0
-2.699 -1.404 -4.210
-2.867 -4.195 1.080
0.612 4.849 1.759
Mo Sc Se
1 2 1
Direct
0.750 0.250 0.500
0.001 0.001 0.000
0.499 0.499 0.000
0.250 0.750 0.500
```

=====

Entry 2
First-principles (PBE) data for a geometry-optimized Sc2MoSe structure, as listed in the Alexandria database.

## Properties
Total magnetic moment   0.000 μB/atom

Structure (POSCAR):
```
Sc2MoSe
1.0
-2.259 -2.219 0.569
2.282 -1.391 -1.790
3.789 -2.185 6.526
Mo Sc Se
1 2 1
Direct
0.500 0.500 0.750
0.000 0.000 0.005
0.000 0.000 0.495
0.500 0.500 0.250
```

=====

Entry 3
First-principles (PBE) data for a geometry-optimized Sc2MoSe structure, as listed in the Alexandria database.

## Properties
Total magnetic moment   0.000 μB/atom

Structure (POSCAR):
```
Sc2MoSe
1.0
8.020 0.011 0.007
7.278 3.368 0.007
7.278 1.608 2.960
Mo Sc Se
1 2 1
Direct
0.750 0.750 0.750
0.997 0.997 0.997
0.503 0.503 0.503
0.250 0.250 0.250
```

=====

Which structure is the least stable? The one labeled entry 1.

=====

Entry 1
First-principles (PBE) data for a geometry-optimized Sc3MoSe structure, as listed in the Alexandria database.

## Properties
Total magnetic moment   0.000 μB/atom

Structure (POSCAR):
```
Sc3MoSe
1.0
-4.113 0.310 2.870
-2.384 -3.182 -3.072
1.628 -3.876 2.752
Sc Mo Se
3 1 1
Direct
0.000 0.500 0.000
0.000 0.000 0.500
0.500 0.000 0.000
0.000 0.000 0.000
0.500 0.500 0.500
```

=====

Entry 2
First-principles (PBE) data for a geometry-optimized Sc3MoSe structure, as listed in the Alexandria database.

## Properties
Total magnetic moment   0.000 μB/atom

Structure (POSCAR):
```
Sc3MoSe
1.0
4.899 0.000 0.000
0.000 4.899 0.000
0.000 0.000 4.899
Sc Mo Se
3 1 1
Direct
0.000 0.500 0.000
0.000 0.000 0.500
0.500 0.000 0.000
0.500 0.500 0.500
0.000 0.000 0.000
```

=====

Which structure is the least stable? The one labeled entry 1.

=====

Entry 1
First-principles (PBE) data for a geometry-optimized ScMoSe3 structure, as listed in the Alexandria database.

## Properties
Total magnetic moment   0.383 μB/atom

Structure (POSCAR):
```
ScMoSe3
1.0
4.951 0.000 0.000
0.000 4.951 0.000
0.000 0.000 4.951
Sc Mo Se
1 1 3
Direct
0.500 0.500 0.500
0.000 0.000 0.000
0.000 0.500 0.000
0.000 0.000 0.500
0.500 0.000 0.000
```

=====

Entry 2
First-principles (PBE) data for a geometry-optimized ScMoSe3 structure, as listed in the Alexandria database.

## Properties
Total magnetic moment   0.615 μB/atom

Structure (POSCAR):
```
ScMoSe3
1.0
5.094 0.000 0.000
0.000 5.094 0.000
0.000 0.000 5.094
Sc Mo Se
1 1 3
Direct
0.000 0.000 0.000
0.500 0.500 0.500
0.000 0.500 0.000
0.000 0.000 0.500
0.500 0.000 0.000
```

=====

Which structure is the least stable? The one labeled entry 2.

=====

Entry 1
First-principles (PBE) data for a geometry-optimized ScSiMo3 structure, as listed in the Alexandria database.

## Properties
Total magnetic moment   0.000 μB/atom

Structure (POSCAR):
```
ScSiMo3
1.0
-1.939 -4.123 0.062
3.801 -1.761 1.793
-1.598 0.815 4.189
Sc Mo Si
1 3 1
Direct
0.500 0.500 0.500
0.000 0.500 0.000
0.000 0.000 0.500
0.500 0.000 0.000
0.000 0.000 0.000
```

=====

Entry 2
First-principles (PBE) data for a geometry-optimized ScSiMo3 structure, as listed in the Alexandria database.

## Properties
Total magnetic moment   0.000 μB/atom

Structure (POSCAR):
```
ScSiMo3
1.0
4.592 0.000 0.000
0.000 4.592 0.000
0.000 0.000 4.592
Sc Mo Si
1 3 1
Direct
0.000 0.000 0.000
0.000 0.500 0.000
0.000 0.000 0.500
0.500 0.000 0.000
0.500 0.500 0.500
```

=====

Which structure is the least stable? The one labeled entry 2.

=====

Entry 1
First-principles (PBE) data for a geometry-optimized ScSi2Mo2 structure, as listed in the Alexandria database.

## Properties
Total magnetic moment   0.000 μB/atom

Structure (POSCAR):
```
ScSi2Mo2
1.0
-4.003 -3.487 -4.327
3.325 -5.776 1.577
-2.140 -0.567 2.436
Sc Mo Si
2 4 4
Direct
0.000 0.000 0.000
0.500 0.500 0.000
0.160 0.660 0.500
0.660 0.840 0.500
0.840 0.340 0.500
0.340 0.160 0.500
0.370 0.870 0.000
0.870 0.630 0.000
0.630 0.130 0.000
0.130 0.370 0.000
```

=====

Entry 2
First-principles (PBE) data for a geometry-optimized ScSi2Mo2 structure, as listed in the Alexandria database.

## Properties
Total magnetic moment   0.000 μB/atom

Structure (POSCAR):
```
ScSi2Mo2
1.0
-3.104 -2.689 -2.046
3.290 -1.773 -2.662
0.803 -5.248 0.533
Sc Mo Si
1 2 2
Direct
0.000 0.000 0.000
0.364 0.364 0.271
0.636 0.636 0.729
0.750 0.250 0.500
0.250 0.750 0.500
```

=====

Which structure is the least stable? The one labeled entry 2.

=====

Entry 1
First-principles (PBE) data for a geometry-optimized ScZn2SiMo structure, as listed in the Alexandria database.

## Properties
Total magnetic moment   0.277 μB/atom

Structure (POSCAR):
```
ScZn2SiMo
1.0
-3.698 -0.960 -3.248
-1.189 -3.718 2.454
-3.130 2.806 2.734
Sc Mo Si Zn
1 1 1 2
Direct
0.000 0.000 0.000
0.000 0.500 0.000
0.500 0.500 0.500
0.000 0.000 0.500
0.500 0.000 0.000
```

=====

Entry 2
First-principles (PBE) data for a geometry-optimized ScZn2SiMo structure, as listed in the Alexandria database.

## Properties
Total magnetic moment   0.635 μB/atom

Structure (POSCAR):
```
ScZn2SiMo
1.0
4.542 0.000 0.000
0.000 4.986 0.000
0.000 0.000 4.542
Sc Mo Si Zn
1 1 1 2
Direct
0.000 0.500 0.000
0.500 0.500 0.500
0.000 0.000 0.000
0.000 0.000 0.500
0.500 0.000 0.000
```

=====

Which structure is the least stable? The one labeled entry 1.

=====

Entry 1
First-principles (PBE) data for a geometry-optimized ScSnMo3 structure, as listed in the Alexandria database.

## Properties
Total magnetic moment   0.000 μB/atom

Structure (POSCAR):
```
ScSnMo3
1.0
4.910 0.000 0.000
0.000 4.910 0.000
0.000 0.000 4.910
Sc Mo Sn
1 3 1
Direct
0.500 0.500 0.500
0.000 0.500 0.000
0.000 0.000 0.500
0.500 0.000 0.000
0.000 0.000 0.000
```

=====

Entry 2
First-principles (PBE) data for a geometry-optimized ScSnMo3 structure, as listed in the Alexandria database.

## Properties
Total magnetic moment   0.000 μB/atom

Structure (POSCAR):
```
ScSnMo3
1.0
4.671 0.000 0.000
0.000 4.671 0.000
0.000 0.000 4.671
Sc Mo Sn
1 3 1
Direct
0.000 0.000 0.000
0.000 0.500 0.000
0.000 0.000 0.500
0.500 0.000 0.000
0.500 0.500 0.500
```

=====

Which structure is the least stable? The one labeled entry 1.

=====

Entry 1
First-principles (PBE) data for a geometry-optimized SrScMo2 structure, as listed in the Alexandria database.

## Properties
Total magnetic moment   0.000 μB/atom

Structure (POSCAR):
```
SrScMo2
1.0
-0.372 -1.263 -4.220
0.750 -3.661 -2.363
-7.014 -2.620 0.856
Mo Sc Sr
2 1 1
Direct
0.018 0.018 0.913
0.740 0.740 0.786
0.482 0.482 0.589
0.260 0.260 0.212
```

=====

Entry 2
First-principles (PBE) data for a geometry-optimized SrScMo2 structure, as listed in the Alexandria database.

## Properties
Total magnetic moment   0.000 μB/atom

Structure (POSCAR):
```
SrScMo2
1.0
-2.734 -0.101 -1.840
1.423 -2.207 -1.994
-3.055 -6.387 4.890
Mo Sc Sr
2 1 1
Direct
0.000 0.000 0.071
0.500 0.500 0.220
0.000 0.000 0.418
0.500 0.500 0.790
```

=====

Entry 3
First-principles (PBE) data for a geometry-optimized SrScMo2 structure, as listed in the Alexandria database.

## Properties
Total magnetic moment   0.000 μB/atom

Structure (POSCAR):
```
SrScMo2
1.0
6.017 0.004 -0.004
2.745 5.355 0.004
-3.728 -3.746 2.876
Mo Sc Sr
2 1 1
Direct
0.960 0.960 0.000
0.796 0.296 0.500
0.514 0.514 0.000
0.230 0.730 0.500
```

=====

Entry 4
First-principles (PBE) data for a geometry-optimized SrScMo2 structure, as listed in the Alexandria database.

## Properties
Total magnetic moment   0.000 μB/atom

Structure (POSCAR):
```
SrScMo2
1.0
-2.846 -2.523 -0.102
1.370 -1.391 -3.848
2.922 -3.388 2.266
Mo Sc Sr
2 1 1
Direct
0.000 0.000 0.000
0.500 0.500 0.000
0.500 0.000 0.500
0.000 0.500 0.500
```

=====

Which structure is the least stable? The one labeled entry 4.